Record 1
SrTeCl2: PBEsol geometry, SCAN.

Values from the calculation:
Space-group type: P2/m (10)
M_tot, μB/atom: 0.4973
Uncorrected formation energy, kcal/mol of atoms: -32.5
Excess energy over the best structure of this formula in the dataset, meV per atom: 20

a b c (Å): 5.583 4.283 5.649
angles (deg): 90.00 102.96 90.00
Positions (direct):
Sr: 0.000 0.000 0.000
Te: 0.500 0.000 0.500
Cl: 0.211 0.500 0.788
Cl: 0.789 0.500 0.212

=====

Record 2
SrTiCl3: PBEsol geometry, SCAN.

Values from the calculation:
Space-group type: Pm-3m (221)
M_tot, μB/atom: 0.6000
Uncorrected formation energy, kcal/mol of atoms: -30.0
Excess energy over the best structure of this formula in the dataset, meV per atom: 361

a b c (Å): 5.499 5.499 5.499
angles (deg): 90.00 90.00 90.00
Positions (direct):
Sr: 0.000 0.000 0.000
Ti: 0.500 0.500 0.500
Cl: 0.000 0.000 0.500
Cl: 0.000 0.500 0.000
Cl: 0.500 0.000 0.000

=====

Record 3
SrTiCl3: PBEsol geometry, SCAN.

Values from the calculation:
Space-group type: Pm-3m (221)
M_tot, μB/atom: 0.5713
Uncorrected formation energy, kcal/mol of atoms: -38.4
Excess energy over the best structure of this formula in the dataset, meV per atom: 0

a b c (Å): 4.885 4.885 4.885
angles (deg): 90.00 90.00 90.00
Positions (direct):
Sr: 0.000 0.000 0.000
Ti: 0.500 0.500 0.500
Cl: 0.000 0.500 0.500
Cl: 0.500 0.000 0.500
Cl: 0.500 0.500 0.000

=====

Record 4
SrTiCl2: PBEsol geometry, SCAN.

Values from the calculation:
Space-group type: I-42d (122)
M_tot, μB/atom: 0.9516
Uncorrected formation energy, kcal/mol of atoms: -25.0

a b c (Å): 5.351 5.351 15.019
angles (deg): 90.00 90.00 90.00
Positions (direct):
Sr: 0.000 0.000 0.000
Sr: 0.000 0.500 0.250
Sr: 0.500 0.000 0.750
Sr: 0.500 0.500 0.500
Ti: 0.000 0.000 0.500
Ti: 0.000 0.500 0.750
Ti: 0.500 0.000 0.250
Ti: 0.500 0.500 0.000
Cl: 0.181 0.250 0.625
Cl: 0.250 0.681 0.875
Cl: 0.250 0.819 0.375
Cl: 0.319 0.250 0.125
Cl: 0.681 0.750 0.125
Cl: 0.750 0.181 0.375
Cl: 0.750 0.319 0.875
Cl: 0.819 0.750 0.625

=====

Record 5
Sr2TlCl5: PBEsol geometry, SCAN.

Values from the calculation:
Space-group type: P2_1/c (14)
M_tot, μB/atom: 0.0000
Uncorrected formation energy, kcal/mol of atoms: -54.5

a b c (Å): 8.843 7.766 12.539
angles (deg): 90.00 90.12 90.00
Positions (direct):
Sr: 0.002 0.024 0.178
Sr: 0.002 0.476 0.678
Sr: 0.250 0.070 0.494
Sr: 0.250 0.430 0.994
Sr: 0.750 0.570 0.006
Sr: 0.750 0.930 0.506
Sr: 0.998 0.524 0.322
Sr: 0.998 0.976 0.822
Tl: 0.488 0.539 0.332
Tl: 0.488 0.961 0.832
Tl: 0.512 0.039 0.168
Tl: 0.512 0.461 0.668
Cl: 0.039 0.660 0.100
Cl: 0.039 0.840 0.600
Cl: 0.214 0.671 0.817
Cl: 0.214 0.829 0.317
Cl: 0.216 0.047 0.997
Cl: 0.216 0.453 0.497
Cl: 0.228 0.193 0.718
Cl: 0.228 0.307 0.218
Cl: 0.464 0.665 0.093
Cl: 0.464 0.835 0.593
Cl: 0.536 0.165 0.407
Cl: 0.536 0.335 0.907
Cl: 0.772 0.693 0.782
Cl: 0.772 0.807 0.282
Cl: 0.784 0.547 0.503
Cl: 0.784 0.953 0.003
Cl: 0.786 0.171 0.683
Cl: 0.786 0.329 0.183
Cl: 0.961 0.160 0.400
Cl: 0.961 0.340 0.900

=====

Record 6
SrTlCl2: PBEsol geometry, SCAN.

Values from the calculation:
Space-group type: Pmmm (47)
M_tot, μB/atom: 0.1603
Uncorrected formation energy, kcal/mol of atoms: -35.2

a b c (Å): 4.179 4.370 5.820
angles (deg): 90.00 90.00 90.00
Positions (direct):
Sr: 0.000 0.000 0.000
Tl: 0.500 0.000 0.500
Cl: 0.000 0.500 0.500
Cl: 0.500 0.500 0.000

=====

Record 7
SrTlCl4: PBEsol geometry, SCAN.

Values from the calculation:
Space-group type: F-43m (216)
M_tot, μB/atom: 0.1689
Uncorrected formation energy, kcal/mol of atoms: -21.2

a b c (Å): 5.991 5.991 5.991
angles (deg): 60.00 60.00 60.00
Positions (direct):
Sr: 0.000 0.000 0.000
Tl: 0.250 0.250 0.250
Cl: 0.124 0.625 0.625
Cl: 0.625 0.124 0.625
Cl: 0.625 0.625 0.124
Cl: 0.625 0.625 0.625

=====

Record 8
SrTlWCl2: PBEsol geometry, SCAN.

Values from the calculation:
Space-group type: P4/mmm (123)
M_tot, μB/atom: 0.0000
Uncorrected formation energy, kcal/mol of atoms: 4.5

a b c (Å): 4.667 4.667 6.420
angles (deg): 90.00 90.00 90.00
Positions (direct):
Sr: 0.000 0.000 0.000
Tl: 0.500 0.500 0.000
W: 0.000 0.000 0.500
Cl: 0.000 0.500 0.500
Cl: 0.500 0.000 0.500

=====

Among the records above, which one has the highest uncorrected formation energy? SrTlWCl2